## V2BiSe (PBE-GGA)

Data for a relaxed V2BiSe crystal.

The formation energy without anion corrections comes out at 25.1 kJ/mol of atoms. Its density of states at the Fermi level is 2.54 states/eV/f.u.

It has space group I-42d (No. 122), with a = 6.119 Å, b = 6.119 Å, c = 11.735 Å, α = 90.00°, β = 90.00° and γ = 90.00°. Symmetry generates all atoms from V at (0.211, 0.250, 0.125), Bi at (0.000, 0.000, 0.500) and Se at (0.000, 0.000, 0.000).

---

## VBi2Se (PBE-GGA)

Data for a relaxed VBi2Se crystal.

The formation energy without anion corrections comes out at 51.1 kJ/mol of atoms. Its density of states at the Fermi level is 3.50 states/eV/f.u.

It has space group I-42d (No. 122), with a = 6.368 Å, b = 6.368 Å, c = 13.867 Å, α = 90.00°, β = 90.00° and γ = 90.00°. Symmetry generates all atoms from V at (0.000, 0.000, 0.000), Bi at (0.223, 0.250, 0.125) and Se at (0.000, 0.000, 0.500).

---

## VBiSe3 (PBE-GGA)

Data for a relaxed VBiSe3 crystal.

The formation energy without anion corrections comes out at -42.7 kJ/mol of atoms. Its density of states at the Fermi level is 0.69 states/eV/f.u.

It has space group C2/m (No. 12), with a = 14.639 Å, b = 3.890 Å, c = 10.491 Å, α = 90.00°, β = 119.34° and γ = 90.00°. Symmetry generates all atoms from V at (0.238, 0.000, 0.116), Bi at (0.126, 0.000, 0.345), Se at (0.124, 0.500, 0.129), Se at (0.136, 0.000, 0.849) and Se at (0.159, 0.500, 0.569).

---

## VBiSe3 (PBE-GGA)

Data for a relaxed VBiSe3 crystal.

The formation energy without anion corrections comes out at -8.9 kJ/mol of atoms. Its density of states at the Fermi level is 4.36 states/eV/f.u.

It has space group Pm-3m (No. 221), with a = 4.916 Å, b = 4.916 Å, c = 4.916 Å, α = 90.00°, β = 90.00° and γ = 90.00°. Symmetry generates all atoms from V at (0.000, 0.000, 0.000), Bi at (0.500, 0.500, 0.500) and Se at (0.000, 0.000, 0.500).

---

## V2BiWSe (PBE-GGA)

Data for a relaxed V2BiWSe crystal.

The formation energy without anion corrections comes out at 118.1 kJ/mol of atoms. Its density of states at the Fermi level is 6.60 states/eV/f.u.

It has space group P4/mmm (No. 123), with a = 4.834 Å, b = 4.834 Å, c = 5.283 Å, α = 90.00°, β = 90.00° and γ = 90.00°. Symmetry generates all atoms from V at (0.000, 0.500, 0.000), Bi at (0.000, 0.000, 0.500), W at (0.000, 0.000, 0.000) and Se at (0.500, 0.500, 0.500).

---

## BiWSe2 (PBE-GGA)

Data for a relaxed BiWSe2 crystal.

The formation energy without anion corrections comes out at 46.1 kJ/mol of atoms. Its density of states at the Fermi level is 5.10 states/eV/f.u.

It has space group I-42d (No. 122), with a = 6.670 Å, b = 6.670 Å, c = 10.465 Å, α = 90.00°, β = 90.00° and γ = 90.00°. Symmetry generates all atoms from Bi at (0.000, 0.000, 0.000), W at (0.000, 0.000, 0.500) and Se at (0.175, 0.250, 0.625).

---

## BiW2Se (PBE-GGA)

Data for a relaxed BiW2Se crystal.

The formation energy without anion corrections comes out at 93.5 kJ/mol of atoms. Its density of states at the Fermi level is 3.18 states/eV/f.u.

It has space group I-42d (No. 122), with a = 4.459 Å, b = 4.459 Å, c = 17.613 Å, α = 90.00°, β = 90.00° and γ = 90.00°. Symmetry generates all atoms from Bi at (0.000, 0.000, 0.000), W at (0.161, 0.250, 0.625) and Se at (0.000, 0.000, 0.500).

---

## BiWSe2 (PBE-GGA)

Data for a relaxed BiWSe2 crystal.

The formation energy without anion corrections comes out at -10.6 kJ/mol of atoms. Its density of states at the Fermi level is 1.73 states/eV/f.u.

It has space group R-3m (No. 166, hexagonal axes), with a = 3.3310 Å, b = 3.3310 Å, c = 31.1569 Å, α = 90.00°, β = 90.00° and γ = 120.00°. Symmetry generates all atoms from Bi at (0.0000, 0.0000, 0.0000), W at (0.0000, 0.0000, 0.5000) and Se at (0.0000, 0.0000, 0.1119).

---

## BiW4Se7 (PBE-GGA)

Data for a relaxed BiW4Se7 crystal.

The formation energy without anion corrections comes out at 4.8 kJ/mol of atoms. Its density of states at the Fermi level is 5.60 states/eV/f.u.

It has space group Pmn2_1 (No. 31), with a = 18.265 Å, b = 5.106 Å, c = 5.689 Å, α = 90.00°, β = 90.00° and γ = 90.00°. Symmetry generates all atoms from Bi at (0.000, 0.157, 0.000), W at (0.142, 0.684, 0.574), W at (0.239, 0.640, 0.182), Se at (0.000, 0.708, 0.690), Se at (0.099, 0.689, 0.168), Se at (0.127, 0.207, 0.679) and Se at (0.242, 0.162, 0.262).

---

## BiW2Se (PBE-GGA)

Data for a relaxed BiW2Se crystal.

The formation energy without anion corrections comes out at 96.5 kJ/mol of atoms. Its density of states at the Fermi level is 5.23 states/eV/f.u.

It has space group Fm-3m (No. 225), with a = 6.628 Å, b = 6.628 Å, c = 6.628 Å, α = 90.00°, β = 90.00° and γ = 90.00°. Symmetry generates all atoms from Bi at (0.000, 0.000, 0.000), W at (0.250, 0.250, 0.250) and Se at (0.000, 0.000, 0.500).

---

## BiW4Se8 (PBE-GGA)

Data for a relaxed BiW4Se8 crystal.

The formation energy without anion corrections comes out at -14.2 kJ/mol of atoms. Its density of states at the Fermi level is 8.73 states/eV/f.u.

It has space group R-3m (No. 166, hexagonal axes), with a = 6.6231 Å, b = 6.6231 Å, c = 25.9307 Å, α = 90.00°, β = 90.00° and γ = 120.00°. Symmetry generates all atoms from Bi at (0.0000, 0.0000, 0.0000), W at (0.0000, 0.0000, 0.5000), W at (0.0000, 0.5000, 0.5000), Se at (0.0000, 0.0000, 0.2329) and Se at (0.0023, 0.5012, 0.7669).

---

## BiWSe3 (PBE-GGA)

Data for a relaxed BiWSe3 crystal.

The formation energy without anion corrections comes out at 27.3 kJ/mol of atoms. Its density of states at the Fermi level is 4.54 states/eV/f.u.

It has space group Pm-3m (No. 221), with a = 4.980 Å, b = 4.980 Å, c = 4.980 Å, α = 90.00°, β = 90.00° and γ = 90.00°. Symmetry generates all atoms from Bi at (0.000, 0.000, 0.000), W at (0.500, 0.500, 0.500) and Se at (0.000, 0.500, 0.500).

---

## ZrBi2WSe (PBE-GGA)

Data for a relaxed ZrBi2WSe crystal.

The formation energy without anion corrections comes out at 65.5 kJ/mol of atoms. Its density of states at the Fermi level is 4.40 states/eV/f.u.

It has space group P4/mmm (No. 123), with a = 5.283 Å, b = 5.283 Å, c = 5.263 Å, α = 90.00°, β = 90.00° and γ = 90.00°. Symmetry generates all atoms from Zr at (0.000, 0.000, 0.000), Bi at (0.000, 0.500, 0.500), W at (0.000, 0.000, 0.500) and Se at (0.500, 0.500, 0.000).

---

## Y4BiSe3 (PBE-GGA)

Data for a relaxed Y4BiSe3 crystal.

The formation energy without anion corrections comes out at -147.3 kJ/mol of atoms. Its density of states at the Fermi level is 3.43 states/eV/f.u.

It has space group Cmmm (No. 65), with a = 8.418 Å, b = 11.847 Å, c = 4.178 Å, α = 90.00°, β = 90.00° and γ = 90.00°. Symmetry generates all atoms from Y at (0.000, 0.241, 0.000), Y at (0.230, 0.000, 0.500), Bi at (0.000, 0.500, 0.000), Se at (0.000, 0.000, 0.000) and Se at (0.250, 0.250, 0.500).

---

## Y6BiSe4 (PBE-GGA)

Data for a relaxed Y6BiSe4 crystal.

The formation energy without anion corrections comes out at -140.5 kJ/mol of atoms. Its density of states at the Fermi level is 9.10 states/eV/f.u.

It has space group Cmcm (No. 63), with a = 4.111 Å, b = 13.336 Å, c = 20.917 Å, α = 90.00°, β = 90.00° and γ = 90.00°. Symmetry generates all atoms from Y at (0.000, 0.000, 0.000), Y at (0.000, 0.150, 0.250), Y at (0.000, 0.270, 0.594), Y at (0.000, 0.450, 0.162), Bi at (0.000, 0.172, 0.750), Se at (0.000, 0.087, 0.123) and Se at (0.000, 0.358, 0.037).

---

## Y2Bi2Se (PBE-GGA)

Data for a relaxed Y2Bi2Se crystal.

The formation energy without anion corrections comes out at -87.1 kJ/mol of atoms. Its density of states at the Fermi level is 2.17 states/eV/f.u.

It has space group P4/mbm (No. 127), with a = 7.834 Å, b = 7.834 Å, c = 4.719 Å, α = 90.00°, β = 90.00° and γ = 90.00°. Symmetry generates all atoms from Y at (0.173, 0.327, 0.000), Bi at (0.137, 0.637, 0.500) and Se at (0.000, 0.000, 0.000).

---

## Y7BiSe5 (PBE-GGA)

Data for a relaxed Y7BiSe5 crystal.

The formation energy without anion corrections comes out at -145.7 kJ/mol of atoms. Its density of states at the Fermi level is 8.19 states/eV/f.u.

It has space group Cmcm (No. 63), with a = 4.106 Å, b = 13.408 Å, c = 24.377 Å, α = 90.00°, β = 90.00° and γ = 90.00°. Symmetry generates all atoms from Y at (0.000, 0.017, 0.250), Y at (0.000, 0.139, 0.537), Y at (0.000, 0.318, 0.176), Y at (0.000, 0.404, 0.616), Bi at (0.000, 0.307, 0.750), Se at (0.000, 0.047, 0.641), Se at (0.000, 0.224, 0.071) and Se at (0.000, 0.500, 0.000).

---

## Y3Bi5Se12 (PBE-GGA)

Data for a relaxed Y3Bi5Se12 crystal.

The formation energy without anion corrections comes out at -72.8 kJ/mol of atoms.

It has space group Ia-3d (No. 230), with a = 17.143 Å, b = 17.143 Å, c = 17.143 Å, α = 90.00°, β = 90.00° and γ = 90.00°. Symmetry generates all atoms from Y at (0.000, 0.250, 0.125), Bi at (0.000, 0.000, 0.000), Bi at (0.000, 0.250, 0.375) and Se at (0.014, 0.072, 0.655).

---

Number 1: calculated volume 27.46 Å³ per atom. Number 2: calculated volume 35.15 Å³ per atom. Number 3: calculated volume 26.04 Å³ per atom. Number 4: calculated volume 23.75 Å³ per atom. Number 5: calculated volume 24.68 Å³ per atom. Number 6: calculated volume 29.10 Å³ per atom. Number 7: calculated volume 21.89 Å³ per atom. Number 8: calculated volume 24.95 Å³ per atom. Number 9: calculated volume 22.11 Å³ per atom. Number 10: calculated volume 18.20 Å³ per atom. Number 11: calculated volume 25.26 Å³ per atom. Number 12: calculated volume 24.69 Å³ per atom. Number 13: calculated volume 29.38 Å³ per atom. Number 14: calculated volume 26.04 Å³ per atom. Number 15: calculated volume 26.06 Å³ per atom. Number 16: calculated volume 28.96 Å³ per atom. Number 17: calculated volume 25.81 Å³ per atom. Number 18: calculated volume 31.49 Å³ per atom.